Here is an optimized crystal structure of BaAcAu from the Alexandria database. Energies are from PBE-GGA.

Computed properties:
N(E_F) (states/eV/cell): 17.765
ΔE_f (eV per atom): -0.332
E (eV/atom): -3.435
M_tot (μB per formula unit): 0.0
Energy above the lowest structure with this stoichiometry (eV per atom): 0.155

a = 7.846 Å, b = 7.846 Å, c = 7.846 Å
α = 90.00°, β = 90.00°, γ = 90.00°
Space group F-43m (No. 216)
Unique sites:
Ba: 0.000 0.000 0.000 x4
Ac: 0.000 0.000 0.500 x4
Au: 0.250 0.250 0.750 x4